VASP calculation (PBE-GGA) on a geometry-optimized Ac3Al9Hg2 structure.

a = 8.9336 Å, b = 8.9336 Å, c = 8.9336 Å
α = 150.43°, β = 108.08°, γ = 79.62°
With the nearest neighbours (Å) after each atom.
Atoms (fractional coordinates):
1 Ac 0.0000 0.0000 0.0000  12 Al 3.47-3.50, 4 Hg 3.69
2 Ac 0.3182 0.3182 0.0000  12 Al 3.36-3.68, 2 Hg 3.42
3 Ac 0.6818 0.6818 0.0000  12 Al 3.36-3.68, 2 Hg 3.42
4 Al 0.0376 0.6665 0.3711  4 Al 2.71-2.77, 1 Hg 2.76
5 Al 0.1225 0.8531 0.2694  3 Al 2.73-2.77, 2 Hg 3.04
6 Al 0.2955 0.6665 0.6289  4 Al 2.71-2.77, 1 Hg 2.76
7 Al 0.4163 0.1469 0.2694  3 Al 2.73-2.77, 2 Hg 3.04
8 Al 0.5000 0.0000 0.5000  4 Al 3.15, 4 Hg 3.27, 4 Ac 3.38
9 Al 0.5837 0.8531 0.7306  3 Al 2.73-2.77, 2 Hg 3.04
10 Al 0.7045 0.3335 0.3711  4 Al 2.71-2.77, 1 Hg 2.76
11 Al 0.8775 0.1469 0.7306  3 Al 2.73-2.77, 2 Hg 3.04
12 Al 0.9624 0.3335 0.6289  4 Al 2.71-2.77, 1 Hg 2.76
13 Hg 0.2770 0.5000 0.7770  6 Al 2.76-3.04
14 Hg 0.7230 0.5000 0.2230  6 Al 2.76-3.04

The value obtained for the formation energy from the elements is -0.301 eV per atom. Its volume is 23.45 Å³ per atom. For the density of states at the Fermi level, the calculation gives 5.54 states/eV/cell.